Material: BeZn4Cu5
Method: DFT, PBE
State: relaxed

Results
The calculation puts the energy of formation from the pure elements at -2.07 kcal/mol of atoms. As for the space group: No. 123.

a = 2.8220 Å, b = 2.8220 Å, c = 15.5691 Å
α = 90.00°, β = 90.00°, γ = 90.00°
Atoms (fractional coordinates):
Be: 0.0000 0.0000 0.0000
Zn: 0.0000 0.0000 0.1853
Zn: 0.0000 0.0000 0.3954
Zn: 0.0000 0.0000 0.6046
Zn: 0.0000 0.0000 0.8147
Cu: 0.5000 0.5000 0.0810
Cu: 0.5000 0.5000 0.2908
Cu: 0.5000 0.5000 0.5000
Cu: 0.5000 0.5000 0.7092
Cu: 0.5000 0.5000 0.9190

Material: LaPS
Method: DFT, PBE
State: relaxed

Results
The energy relative to the elements, uncorrected is -1.56 eV/atom. As for the space group: No. 62.

a = 3.8124 Å, b = 7.4259 Å, c = 9.6016 Å
α = 90.00°, β = 90.00°, γ = 90.00°
Atoms (fractional coordinates):
P: 0.7500 0.4202 0.5379
P: 0.2500 0.0798 0.0379
P: 0.7500 0.9202 0.9621
P: 0.2500 0.5798 0.4621
S: 0.2500 0.0983 0.6581
S: 0.7500 0.4017 0.1581
S: 0.2500 0.5983 0.8419
S: 0.7500 0.9017 0.3419
La: 0.2500 0.7007 0.1564
La: 0.7500 0.2993 0.8436
La: 0.2500 0.2007 0.3436
La: 0.7500 0.7993 0.6564

Material: Sc2ZnAu
Method: DFT, PBE
State: relaxed

Results
The calculation puts the energy of formation from the pure elements at -13.74 kcal/mol of atoms. As for the space group: No. 59.

a = 4.7385 Å, b = 4.9102 Å, c = 6.6140 Å
α = 90.00°, β = 90.00°, γ = 90.00°
Atoms (fractional coordinates):
Sc: 0.5000 0.2272 0.2472
Sc: 0.5000 0.2272 0.7528
Sc: 0.0000 0.7728 0.7472
Sc: 0.0000 0.7728 0.2528
Zn: 0.0000 0.2910 0.5000
Zn: 0.5000 0.7090 0.0000
Au: 0.5000 0.6935 0.5000
Au: 0.0000 0.3065 0.0000

Material: Zn2SnHgBi
Method: DFT, PBE
State: relaxed

Results
The calculation puts the energy of formation from the pure elements at 14.47 kcal/mol of atoms. As for the space group: No. 123.

a = 5.4007 Å, b = 5.7871 Å, c = 5.4007 Å
α = 90.00°, β = 90.00°, γ = 90.00°
Atoms (fractional coordinates):
Zn: 0.0000 0.0000 0.5000
Zn: 0.5000 0.0000 0.0000
Bi: 0.0000 0.0000 0.0000
Sn: 0.5000 0.5000 0.5000
Hg: 0.0000 0.5000 0.0000

Material: Pr2NdMg
Method: DFT, PBE
State: relaxed

Results
The calculation puts the distance to the lowest polymorph of the same formula at 0 meV per atom. The calculation puts the energy of formation from the pure elements at -1.00 kcal/mol of atoms. As for the space group: No. 123.

a = 3.7917 Å, b = 3.7917 Å, c = 9.1778 Å
α = 90.00°, β = 90.00°, γ = 90.00°
Atoms (fractional coordinates):
Pr: 0.0000 0.0000 0.7743
Pr: 0.0000 0.0000 0.2257
Mg: 0.5000 0.5000 0.0000
Nd: 0.5000 0.5000 0.5000

Material: Cd2Hg6H
Method: DFT, PBE
State: relaxed

Results
As for the total energy: -0.6689 eV/atom. As for the space group: No. 2.

a = 3.1670 Å, b = 6.5098 Å, c = 11.3784 Å
α = 102.09°, β = 98.52°, γ = 102.61°
Atoms (fractional coordinates):
Cd: 0.1180 0.7728 0.4932
Cd: 0.8817 0.2273 0.5068
Hg: 0.4010 0.6233 0.7215
Hg: 0.5993 0.3767 0.2785
Hg: 0.4798 0.8619 0.2548
Hg: 0.2572 0.2892 0.0033
Hg: 0.7429 0.7108 0.9967
Hg: 0.5200 0.1380 0.7452
H: 0.0001 0.0000 0.0000

Material: CaTmCuAg
Method: DFT, PBE
State: relaxed

Results
The calculation puts the energy of formation from the pure elements at -4.47 kcal/mol of atoms. As for the space group: No. 216.

a = 5.0366 Å, b = 5.0366 Å, c = 5.0366 Å
α = 60.00°, β = 60.00°, γ = 60.00°
Atoms (fractional coordinates):
Ca: 0.0000 0.0000 0.0000
Tm: 0.5000 0.5000 0.5000
Cu: 0.2500 0.2500 0.2500
Ag: 0.7500 0.7500 0.7500

Material: HfTl2OsW
Method: DFT, PBE
State: relaxed

Results
The calculation puts the energy of formation from the pure elements at 50.04 kcal/mol of atoms. As for the space group: No. 123.

a = 5.4617 Å, b = 4.8121 Å, c = 5.4617 Å
α = 90.00°, β = 90.00°, γ = 90.00°
Site moments in Bohr magnetons follow the coordinates.
Atoms (fractional coordinates):
Hf: 0.0000 0.0000 0.0000  -0.05
Tl: 0.0000 0.0000 0.5000  -0.01
Tl: 0.5000 0.0000 0.0000  0.00
Os: 0.0000 0.5000 0.0000  -0.48
W: 0.5000 0.5000 0.5000  3.03